Below is crystalline ScInO3 at its relaxed geometry, with properties calculated at the GGA-PBE level.

Summary:
- SG: No. 194
- E_form (uncorrected): -12.46 eV/f.u.

a = 3.4668 Å, b = 3.4668 Å, c = 12.7117 Å
α = 90.00°, β = 90.00°, γ = 120.00°
Sites, in units of the cell vectors:
Sc (0.3333, 0.6667, 0.2500)
Sc (0.6667, 0.3333, 0.7500)
In (0.0000, 0.0000, 0.0000)
In (0.0000, 0.0000, 0.5000)
O (0.0000, 0.0000, 0.2500)
O (0.0000, 0.0000, 0.7500)
O (0.3333, 0.6667, 0.0822)
O (0.3333, 0.6667, 0.4178)
O (0.6667, 0.3333, 0.5822)
O (0.6667, 0.3333, 0.9178)